No. 1
# GGA-PBE Re2IrCl, relaxed
# Spin magnetization   0.0 μB/cell
data_Re2IrCl
_space_group_name_H-M_alt 'P 4/m m m'
_space_group_IT_number 123
_space_group_name_Hall '-P 4 2'
_cell_length_a 2.7715
_cell_length_b 2.7715
_cell_length_c 7.8247
_cell_angle_alpha 90.00
_cell_angle_beta 90.00
_cell_angle_gamma 90.00
loop_
_atom_site_label
_atom_site_type_symbol
_atom_site_fract_x
_atom_site_fract_y
_atom_site_fract_z
_atom_site_occupancy
Re1 Re 0.0000 0.0000 0.2457 1
Ir1 Ir 0.5000 0.5000 0.0000 1
Cl1 Cl 0.5000 0.5000 0.5000 1



No. 2
# GGA-PBE ReIrCl2, relaxed
# Spin magnetization   0.0 μB/cell
data_ReIrCl2
_space_group_name_H-M_alt 'P 4/m m m'
_space_group_IT_number 123
_space_group_name_Hall '-P 4 2'
_cell_length_a 4.2022
_cell_length_b 4.2022
_cell_length_c 3.4465
_cell_angle_alpha 90.00
_cell_angle_beta 90.00
_cell_angle_gamma 90.00
loop_
_atom_site_label
_atom_site_type_symbol
_atom_site_fract_x
_atom_site_fract_y
_atom_site_fract_z
_atom_site_occupancy
Re1 Re 0.0000 0.0000 0.0000 1
Ir1 Ir 0.5000 0.5000 0.0000 1
Cl1 Cl 0.0000 0.5000 0.5000 1



No. 3
# GGA-PBE ReIrCl2, relaxed
# Spin magnetization   1.4 μB/cell
data_ReIrCl2
_space_group_name_H-M_alt 'P m m m'
_space_group_IT_number 47
_space_group_name_Hall '-P 2 2'
_cell_length_a 2.8283
_cell_length_b 4.3118
_cell_length_c 5.2328
_cell_angle_alpha 90.00
_cell_angle_beta 90.00
_cell_angle_gamma 90.00
loop_
_atom_site_label
_atom_site_type_symbol
_atom_site_fract_x
_atom_site_fract_y
_atom_site_fract_z
_atom_site_occupancy
Re1 Re 0.0000 0.0000 0.0000 1
Ir1 Ir 0.5000 0.0000 0.5000 1
Cl1 Cl 0.0000 0.5000 0.5000 1
Cl2 Cl 0.5000 0.5000 0.0000 1



Number 1: density of states at the Fermi level 1.108 states/eV/atom, ΔE to the lowest computed polymorph 334 meV/atom. Number 2: density of states at the Fermi level 0.776 states/eV/atom, ΔE to the lowest computed polymorph 1507 meV/atom. Number 3: density of states at the Fermi level 0.853 states/eV/atom, ΔE to the lowest computed polymorph 935 meV/atom.